# PbN2Cl

A relaxed structure of PbN2Cl (PBE-GGA, Alexandria via LeMat-Bulk).

Formation energy (no corrections), eV/f.u.: 4.6
N(E_F), states/eV per cell: 8.19
Magnetic moment, μB per formula unit: 0.6
Calculated volume, Å³ per cell: 204.93
Offset from the most stable computed form, eV/atom: 1.342

Geometry as CIF:
```
data_PbN2Cl
_symmetry_space_group_name_H-M 'R -3 m'
_symmetry_Int_Tables_number 166
_symmetry_space_group_name_Hall '-R 3 2"'
_cell_length_a 3.5818
_cell_length_b 3.5818
_cell_length_c 18.4447
_cell_angle_alpha 90.00
_cell_angle_beta 90.00
_cell_angle_gamma 120.00
loop_
_atom_site_label
_atom_site_type_symbol
_atom_site_fract_x
_atom_site_fract_y
_atom_site_fract_z
Pb1 Pb 0.0000 0.0000 0.0000
N1 N 0.0000 0.0000 0.3951
Cl1 Cl 0.0000 0.0000 0.5000
```

# LaZn3Co

A relaxed structure of LaZn3Co (PBE-GGA, Alexandria via LeMat-Bulk).

N(E_F), states/eV per cell: 2.88
Magnetic moment, μB per formula unit: 0.4
Energy relative to the elements, kJ per mole of atoms: -16.9
Calculated volume, Å³ per cell: 98.71
Offset from the most stable computed form, eV/atom: 0.014

Geometry as CIF:
```
data_LaZn3Co
_symmetry_space_group_name_H-M 'P m -3 m'
_symmetry_Int_Tables_number 221
_symmetry_space_group_name_Hall '-P 4 2 3'
_cell_length_a 4.622
_cell_length_b 4.622
_cell_length_c 4.622
_cell_angle_alpha 90.00
_cell_angle_beta 90.00
_cell_angle_gamma 90.00
loop_
_atom_site_label
_atom_site_type_symbol
_atom_site_fract_x
_atom_site_fract_y
_atom_site_fract_z
La1 La 0.000 0.000 0.000
Zn1 Zn 0.000 0.500 0.500
Co1 Co 0.500 0.500 0.500
```

# V2GeH

A relaxed structure of V2GeH (PBE-GGA, Alexandria via LeMat-Bulk).

N(E_F), states/eV per cell: 10.29
Magnetic moment, μB per formula unit: 0.0
Calculated volume, Å³ per cell: 204.25
Offset from the most stable computed form, eV/atom: 0.438

Geometry as CIF:
```
data_V2GeH
_symmetry_space_group_name_H-M 'I 41/a m d'
_symmetry_Int_Tables_number 141
_cell_length_a 4.796
_cell_length_b 4.796
_cell_length_c 8.879
_cell_angle_alpha 90.00
_cell_angle_beta 90.00
_cell_angle_gamma 90.00
loop_
_symmetry_equiv_pos_as_xyz
'x,y,z'
'-x,-y,-z'
'-y+1/4,x+3/4,z+1/4'
'y+1/4,-x+3/4,-z+1/4'
'-x+1/2,-y,z+1/2'
'x+1/2,y,-z+1/2'
'y+1/4,-x+1/4,z+3/4'
'-y+1/4,x+1/4,-z+3/4'
'x,-y,-z'
'-x,y,z'
'-y+1/4,-x+1/4,-z+3/4'
'y+1/4,x+1/4,z+3/4'
'-x+1/2,y,-z+1/2'
'x+1/2,-y,z+1/2'
'y+1/4,x+3/4,-z+1/4'
'-y+1/4,-x+3/4,z+1/4'
'x+1/2,y+1/2,z+1/2'
'-x+1/2,-y+1/2,-z+1/2'
'-y+3/4,x+1/4,z+3/4'
'y+3/4,-x+1/4,-z+3/4'
'-x,-y+1/2,z'
'x,y+1/2,-z'
'y+3/4,-x+3/4,z+1/4'
'-y+3/4,x+3/4,-z+1/4'
'x+1/2,-y+1/2,-z+1/2'
'-x+1/2,y+1/2,z+1/2'
'-y+3/4,-x+3/4,-z+1/4'
'y+3/4,x+3/4,z+1/4'
'-x,y+1/2,-z'
'x,-y+1/2,z'
'y+3/4,x+1/4,-z+3/4'
'-y+3/4,-x+1/4,z+3/4'
loop_
_atom_site_label
_atom_site_type_symbol
_atom_site_fract_x
_atom_site_fract_y
_atom_site_fract_z
V1 V 0.000 0.000 0.000
Ge1 Ge 0.000 0.250 0.375
H1 H 0.000 0.250 0.875
```

# CaTlCo2

A relaxed structure of CaTlCo2 (PBE-GGA, Alexandria via LeMat-Bulk).

N(E_F), states/eV per cell: 4.98
Magnetic moment, μB per formula unit: 2.5
Energy relative to the elements, kJ per mole of atoms: 20.4
Calculated volume, Å³ per cell: 174.08

Geometry as CIF:
```
data_CaTlCo2
_symmetry_space_group_name_H-M 'C 1 2/m 1'
_symmetry_Int_Tables_number 12
_cell_length_a 7.738
_cell_length_b 4.462
_cell_length_c 5.676
_cell_angle_alpha 90.00
_cell_angle_beta 117.36
_cell_angle_gamma 90.00
loop_
_symmetry_equiv_pos_as_xyz
'x,y,z'
'-x,-y,-z'
'-x,y,-z'
'x,-y,z'
'x+1/2,y+1/2,z'
'-x+1/2,-y+1/2,-z'
'-x+1/2,y+1/2,-z'
'x+1/2,-y+1/2,z'
loop_
_atom_site_label
_atom_site_type_symbol
_atom_site_fract_x
_atom_site_fract_y
_atom_site_fract_z
Ca1 Ca 0.000 0.000 0.000
Tl1 Tl 0.000 0.500 0.500
Co1 Co 0.180 0.000 0.539
```